A plane-wave DFT calculation with PBE-GGA was carried out for a relaxed structure of CaPaCdHg.

a b c (Å): 7.539 7.539 7.539
angles (deg): 90.00 90.00 90.00
Space group F-43m (No. 216)
Asymmetric unit:
Ca: 0.000 0.000 0.000
Pa: 0.000 0.000 0.500
Cd: 0.250 0.250 0.250
Hg: 0.250 0.250 0.750

Output
For the raw total energy, the calculation gives -50.3 eV per cell. The value obtained for the volume is 428.5 Å³ per cell. The value obtained for the energy of formation from the pure elements is 36 meV per atom. For the spin magnetization, the calculation gives 1.3 μB/f.u.

A plane-wave DFT calculation with PBE-GGA was carried out for a relaxed structure of BaSc2Se.

a b c (Å): 3.7901 3.7901 33.3307
angles (deg): 90.00 90.00 120.00
Space group R-3m (No. 166, hexagonal axes)
Asymmetric unit:
Ba: 0.0000 0.0000 0.0000
Sc: 0.0000 0.0000 0.4267
Se: 0.0000 0.0000 0.5000

Output
For the raw total energy, the calculation gives -54.0 eV per cell. The value obtained for the volume is 414.6 Å³ per cell. For the formation energy from raw total energies, the calculation gives 0.01 eV/atom. For the spin magnetization, the calculation gives 0.0 μB/f.u.

A plane-wave DFT calculation with PBE-GGA was carried out for a relaxed structure of NaHfIn.

a b c (Å): 4.980 8.557 6.722
angles (deg): 90.00 90.00 90.00
Space group Cmmm (No. 65)
Asymmetric unit:
Na: 0.000 0.167 0.000
Hf: 0.000 0.171 0.500
In: 0.000 0.500 0.281

Output
For the raw total energy, the calculation gives -54.3 eV per cell. The calculation puts the energy above the most stable polymorph in this dataset at 69 kJ/mol of formula units. The value obtained for the volume is 286.4 Å³ per cell. The value obtained for the energy of formation from the pure elements is 145 meV per atom. For the spin magnetization, the calculation gives 0.0 μB/f.u.

A plane-wave DFT calculation with PBE-GGA was carried out for a relaxed structure of PrDy4Cd5.

a b c (Å): 3.760 3.760 18.965
angles (deg): 90.00 90.00 90.00
Space group P4/mmm (No. 123)
Asymmetric unit:
Pr: 0.000 0.000 0.000
Dy: 0.000 0.000 0.206
Dy: 0.000 0.000 0.402
Cd: 0.500 0.500 0.110
Cd: 0.500 0.500 0.304
Cd: 0.500 0.500 0.500

Output
For the raw total energy, the calculation gives -30.9 eV per cell. The value obtained for the volume is 268.1 Å³ per cell. The value obtained for the energy of formation from the pure elements is -316 meV per atom. For the spin magnetization, the calculation gives 0.9 μB/f.u.

A plane-wave DFT calculation with PBE-GGA was carried out for a relaxed structure of LiLa2Sn3Rh4.

a b c (Å): 4.269 4.269 11.700
angles (deg): 90.00 90.00 90.00
Space group P-4m2 (No. 115)
Asymmetric unit:
Li: 0.000 0.000 0.000
La: 0.000 0.500 0.763
Sn: 0.000 0.500 0.371
Sn: 0.500 0.500 0.000
Rh: 0.000 0.000 0.500
Rh: 0.000 0.500 0.143
Rh: 0.500 0.500 0.500

Output
For the raw total energy, the calculation gives -60.2 eV per cell. The value obtained for the volume is 213.3 Å³ per cell. The value obtained for the energy of formation from the pure elements is -706 meV per atom. For the spin magnetization, the calculation gives 0.0 μB/f.u.

A plane-wave DFT calculation with PBE-GGA was carried out for a relaxed structure of SbH2I.

a b c (Å): 6.364 6.364 6.364
angles (deg): 90.00 90.00 90.00
Space group Fm-3m (No. 225)
Asymmetric unit:
Sb: 0.000 0.000 0.000
H: 0.250 0.250 0.250
I: 0.000 0.000 0.500

Output
For the raw total energy, the calculation gives -33.8 eV per cell. The calculation puts the energy above the most stable polymorph in this dataset at 411 kJ/mol of formula units. The value obtained for the volume is 257.8 Å³ per cell. For the spin magnetization, the calculation gives 0.0 μB/f.u.

A plane-wave DFT calculation with PBE-GGA was carried out for a relaxed structure of SiMoBr.

a b c (Å): 3.418 3.594 20.628
angles (deg): 90.00 90.00 90.00
Space group Imm2 (No. 44)
Asymmetric unit:
Si: 0.000 0.000 0.000
Si: 0.000 0.500 0.081
Mo: 0.000 0.000 0.474
Mo: 0.000 0.500 0.598
Br: 0.000 0.500 0.375
Br: 0.000 0.500 0.717

Output
For the raw total energy, the calculation gives -74.2 eV per cell. The calculation puts the energy above the most stable polymorph in this dataset at 15 kJ/mol of formula units. The value obtained for the volume is 253.4 Å³ per cell. For the formation energy from raw total energies, the calculation gives -0.21 eV/atom. For the spin magnetization, the calculation gives 0.0 μB/f.u.

A plane-wave DFT calculation with PBE-GGA was carried out for a relaxed structure of Pm2Zn7Au.

a b c (Å): 4.248 4.248 10.672
angles (deg): 90.00 90.00 90.00
Space group P-4m2 (No. 115)
Asymmetric unit:
Pm: 0.000 0.500 0.243
Zn: 0.000 0.000 0.000
Zn: 0.000 0.500 0.642
Zn: 0.000 0.500 0.871
Zn: 0.500 0.500 0.000
Zn: 0.500 0.500 0.500
Au: 0.000 0.000 0.500

Output
For the raw total energy, the calculation gives -25.3 eV per cell. The value obtained for the volume is 192.6 Å³ per cell. The value obtained for the energy of formation from the pure elements is -360 meV per atom. For the spin magnetization, the calculation gives 0.0 μB/f.u.